GeAs2SeS (GGA-PBE, optimized geometry); formation energy from raw total energies = 0.949 eV/atom; Fermi-level density of states = 5.123 states/eV/f.u.; V = 24.1 A^3/atom; total energy = -16.8 eV per cell
1.0
-3.057 -2.592 -3.002
3.675 -0.425 -3.375
1.430 -4.086 2.072
S As Ge Se
1 2 1 1
Direct
0.500 0.500 0.500
0.000 0.500 0.000
0.500 0.000 0.000
0.000 0.000 0.000
0.000 0.000 0.500

=====

PHPbO2 (GGA-PBE, optimized geometry); Fermi-level density of states = 2.468 states/eV/f.u.; V = 14.5 A^3/atom; total energy = -19.9 eV per cell
1.0
4.418 0.000 0.000
0.000 3.705 0.000
0.000 0.000 4.418
Pb P O H
1 1 2 1
Direct
0.000 0.000 0.000
0.500 0.500 0.500
0.000 0.000 0.500
0.500 0.000 0.000
0.000 0.500 0.000

=====

KYAl (GGA-PBE, optimized geometry); Fermi-level density of states = 3.324 states/eV/f.u.; E_form = 291 meV per atom; V = 33.9 A^3/atom; total energy = -10.4 eV per cell
1.0
3.658 0.000 0.000
-1.829 3.168 0.000
0.000 0.000 8.772
Y K Al
1 1 1
Direct
0.667 0.333 0.724
0.333 0.667 0.301
0.000 0.000 0.975